Entry 1:
{
  "formula": "Ni2Pt6Au",
  "functional": "PBE",
  "state": "optimized geometry",
  "magmom_total_mub_per_cell": 3.26,
  "formation_energy_ev_per_fu": 0.18,
  "sg": "C2/m (12)",
  "n_ef_per_ev_cell": 14.8,
  "volume_a3_per_atom": 15.16,
  "density_g_cm3": 18.07,
  "lattice_angstrom": [[-2.489, -1.207, 0.340], [3.917, -5.450, -2.086], [-0.781, 4.000, 8.488]],
  "species": ["Pt", "Pt", "Pt", "Pt", "Pt", "Pt", "Au", "Ni", "Ni"],
  "fractional_positions": [[0.029, 0.057, 0.234], [0.640, 0.281, 0.093], [0.359, 0.719, 0.907], [0.295, 0.590, 0.424], [0.705, 0.410, 0.576], [0.971, 0.943, 0.766], [0.000, 0.000, 0.500], [0.329, 0.657, 0.156], [0.671, 0.343, 0.844]]
}


Entry 2:
{
  "formula": "ZnS2NF",
  "functional": "PBE",
  "state": "optimized geometry",
  "e_form_raw_ev_per_atom": 1.44,
  "magmom_total_mub_per_cell": 2.33,
  "polymorph_energy_ev_per_atom": 0.2404,
  "sg": "P4/mmm (123)",
  "n_ef_per_ev_cell": 2.0,
  "volume_a3_per_atom": 16.02,
  "density_g_cm3": 3.37,
  "lattice_angstrom": [[-2.513, -0.596, -3.687], [-3.394, -1.490, 2.554], [-1.369, 3.694, 0.336]],
  "species": ["S", "S", "N", "F", "Zn"],
  "fractional_positions": [[0.500, 0.000, 0.000], [0.000, 0.500, 0.000], [0.000, 0.000, 0.500], [0.000, 0.000, 0.000], [0.500, 0.500, 0.500]]
}


Entry 3:
{
  "formula": "YPOsSe2",
  "functional": "PBE",
  "state": "optimized geometry",
  "e_form_raw_ev_per_atom": -0.16,
  "magmom_total_mub_per_cell": 0.00,
  "polymorph_energy_ev_per_atom": 0.0000,
  "sg": "P4/mmm (123)",
  "n_ef_per_ev_cell": 3.4,
  "volume_a3_per_atom": 23.05,
  "density_g_cm3": 6.74,
  "lattice_angstrom": [[5.153, 0.000, 0.000], [0.000, 4.340, 0.000], [0.000, 0.000, 5.153]],
  "species": ["Se", "Se", "Os", "Y", "P"],
  "fractional_positions": [[0.000, 0.000, 0.500], [0.500, 0.000, 0.000], [0.000, 0.000, 0.000], [0.500, 0.500, 0.500], [0.000, 0.500, 0.000]]
}


Entry 4:
{
  "formula": "DyHo2ThBi5",
  "functional": "PBE",
  "state": "optimized geometry",
  "magmom_total_mub_per_cell": 0.00,
  "formation_energy_ev_per_fu": 2.22,
  "sg": "P4/mmm (123)",
  "n_ef_per_ev_cell": 7.2,
  "volume_a3_per_atom": 43.36,
  "density_g_cm3": 7.53,
  "lattice_angstrom": [[5.721, 0.000, 0.000], [0.000, 5.721, 0.000], [0.000, 0.000, 11.925]],
  "species": ["Dy", "Th", "Bi", "Bi", "Bi", "Bi", "Bi", "Ho", "Ho"],
  "fractional_positions": [[0.000, 0.000, 0.000], [0.000, 0.000, 0.500], [0.000, 0.500, 0.500], [0.500, 0.500, 0.000], [0.500, 0.000, 0.500], [0.000, 0.000, 0.758], [0.000, 0.000, 0.242], [0.500, 0.500, 0.267], [0.500, 0.500, 0.733]]
}


Entry 5:
{
  "formula": "Ca2ScPb",
  "functional": "PBE",
  "state": "optimized geometry",
  "magmom_total_mub_per_cell": 0.32,
  "formation_energy_ev_per_fu": -0.90,
  "sg": "P4/mmm (123)",
  "n_ef_per_ev_cell": 3.5,
  "volume_a3_per_atom": 29.14,
  "density_g_cm3": 4.73,
  "lattice_angstrom": [[-2.821, 3.705, -1.311], [-1.930, -2.711, -3.511], [-3.525, -1.569, 3.150]],
  "species": ["Ca", "Ca", "Sc", "Pb"],
  "fractional_positions": [[0.000, 0.000, 0.000], [0.500, 0.500, 0.000], [0.000, 0.500, 0.500], [0.500, 0.000, 0.500]]
}


Entry 6:
{
  "formula": "ErPuCrTc",
  "functional": "PBE",
  "state": "optimized geometry",
  "magmom_total_mub_per_cell": 1.63,
  "formation_energy_ev_per_fu": 0.66,
  "sg": "F-43m (216)",
  "n_ef_per_ev_cell": 6.7,
  "volume_a3_per_atom": 19.49,
  "density_g_cm3": 11.95,
  "lattice_angstrom": [[-3.207, 0.838, -3.465], [0.333, -2.316, -4.186], [-3.225, -3.359, -1.145]],
  "species": ["Pu", "Cr", "Tc", "Er"],
  "fractional_positions": [[0.500, 0.500, 0.500], [0.750, 0.750, 0.750], [0.250, 0.250, 0.250], [0.000, 0.000, 0.000]]
}


Entry 7:
{
  "formula": "ScPa5S6",
  "functional": "PBE",
  "state": "optimized geometry",
  "e_form_raw_ev_per_atom": -1.63,
  "magmom_total_mub_per_cell": 0.00,
  "sg": "C2/m (12)",
  "n_ef_per_ev_cell": 17.7,
  "volume_a3_per_atom": 20.40,
  "density_g_cm3": 9.45,
  "lattice_angstrom": [[-2.903, 2.276, 5.618], [-3.516, -1.011, -5.638], [1.114, -6.445, 1.822]],
  "species": ["Sc", "S", "S", "S", "S", "S", "S", "Pa", "Pa", "Pa", "Pa", "Pa"],
  "fractional_positions": [[0.000, 0.000, 0.000], [0.242, 0.242, 0.755], [0.081, 0.403, 0.242], [0.403, 0.081, 0.242], [0.597, 0.919, 0.758], [0.919, 0.597, 0.758], [0.758, 0.758, 0.245], [0.831, 0.169, 0.500], [0.333, 0.667, 0.000], [0.500, 0.500, 0.500], [0.667, 0.333, 0.000], [0.169, 0.831, 0.500]]
}


Entry 8:
{
  "formula": "ZnNiSn2Bi",
  "functional": "PBE",
  "state": "optimized geometry",
  "magmom_total_mub_per_cell": 0.00,
  "formation_energy_ev_per_fu": 0.38,
  "sg": "P4/mmm (123)",
  "n_ef_per_ev_cell": 2.6,
  "volume_a3_per_atom": 24.03,
  "density_g_cm3": 7.89,
  "lattice_angstrom": [[5.083, 0.000, 0.000], [0.000, 5.083, 0.000], [0.000, 0.000, 4.650]],
  "species": ["Zn", "Sn", "Sn", "Ni", "Bi"],
  "fractional_positions": [[0.000, 0.000, 0.500], [0.500, 0.000, 0.000], [0.000, 0.500, 0.000], [0.000, 0.000, 0.000], [0.500, 0.500, 0.500]]
}


Entry 9:
{
  "formula": "YSiTc",
  "functional": "PBE",
  "state": "optimized geometry",
  "e_form_raw_ev_per_atom": -0.08,
  "magmom_total_mub_per_cell": 0.01,
  "polymorph_energy_ev_per_atom": 0.5188,
  "sg": "F-43m (216)",
  "n_ef_per_ev_cell": 2.9,
  "volume_a3_per_atom": 20.19,
  "density_g_cm3": 5.89,
  "lattice_angstrom": [[-1.911, 3.130, 2.447], [-2.281, -1.107, 3.606], [1.596, 0.955, 3.997]],
  "species": ["Tc", "Y", "Si"],
  "fractional_positions": [[0.000, 0.000, 0.000], [0.500, 0.500, 0.500], [0.750, 0.750, 0.750]]
}


Entry 10:
{
  "formula": "Cu2AsF6",
  "functional": "PBE",
  "state": "optimized geometry",
  "e_form_raw_ev_per_atom": -1.64,
  "magmom_total_mub_per_cell": 2.00,
  "sg": "C2/c (15)",
  "n_ef_per_ev_cell": 5.0,
  "volume_a3_per_atom": 14.29,
  "density_g_cm3": 4.08,
  "lattice_angstrom": [[4.307, 0.310, 0.300], [1.564, 7.927, -1.311], [1.564, -1.053, 7.966]],
  "species": ["F", "F", "F", "F", "F", "F", "F", "F", "F", "F", "F", "F", "Cu", "Cu", "Cu", "Cu", "As", "As"],
  "fractional_positions": [[0.304, 0.066, 0.277], [0.910, 0.501, 0.689], [0.196, 0.723, 0.934], [0.590, 0.311, 0.499], [0.385, 0.300, 0.880], [0.615, 0.700, 0.120], [0.885, 0.880, 0.300], [0.804, 0.277, 0.066], [0.696, 0.934, 0.723], [0.115, 0.120, 0.700], [0.410, 0.689, 0.501], [0.090, 0.499, 0.311], [0.389, 0.516, 0.722], [0.889, 0.722, 0.516], [0.611, 0.484, 0.278], [0.111, 0.278, 0.484], [0.250, 0.113, 0.887], [0.750, 0.887, 0.113]]
}


Entry 11:
{
  "formula": "BaAlMo2",
  "functional": "PBE",
  "state": "optimized geometry",
  "magmom_total_mub_per_cell": 0.00,
  "formation_energy_ev_per_fu": 2.37,
  "sg": "P2/m (10)",
  "n_ef_per_ev_cell": 4.7,
  "volume_a3_per_atom": 25.58,
  "density_g_cm3": 5.78,
  "lattice_angstrom": [[4.761, 0.000, 0.000], [0.000, 3.315, 0.002], [0.000, 1.028, 6.482]],
  "species": ["Ba", "Al", "Mo", "Mo"],
  "fractional_positions": [[0.500, 0.750, 0.750], [0.500, 0.250, 0.250], [0.000, 0.043, 0.116], [0.000, 0.457, 0.384]]
}


Entry 12:
{
  "formula": "CrCoBRu",
  "functional": "PBE",
  "state": "optimized geometry",
  "magmom_total_mub_per_cell": 2.03,
  "formation_energy_ev_per_fu": 0.64,
  "sg": "F-43m (216)",
  "n_ef_per_ev_cell": 2.6,
  "volume_a3_per_atom": 10.72,
  "density_g_cm3": 8.63,
  "lattice_angstrom": [[3.929, 0.000, 0.000], [1.965, 3.403, 0.000], [1.965, 1.134, 3.208]],
  "species": ["Cr", "Ru", "B", "Co"],
  "fractional_positions": [[0.750, 0.750, 0.750], [0.000, 0.000, 0.000], [0.250, 0.250, 0.250], [0.500, 0.500, 0.500]]
}


Entry 13:
{
  "formula": "CdPO",
  "functional": "PBE",
  "state": "optimized geometry",
  "e_form_raw_ev_per_atom": -0.62,
  "magmom_total_mub_per_cell": 0.00,
  "polymorph_energy_ev_per_atom": 0.0000,
  "sg": "Cm (8)",
  "n_ef_per_ev_cell": 2.8,
  "volume_a3_per_atom": 20.30,
  "density_g_cm3": 4.35,
  "lattice_angstrom": [[4.718, 0.000, 0.015], [0.000, 3.273, 0.000], [-3.589, 0.000, 7.877]],
  "species": ["P", "P", "Cd", "Cd", "O", "O"],
  "fractional_positions": [[0.660, 0.500, 0.074], [0.660, 0.000, 0.574], [0.884, 0.000, 0.902], [0.884, 0.500, 0.402], [0.293, 0.000, 0.496], [0.293, 0.500, 0.996]]
}


Entry 14:
{
  "formula": "Rb2CrIrBr",
  "functional": "PBE",
  "state": "optimized geometry",
  "e_form_raw_ev_per_atom": 0.31,
  "magmom_total_mub_per_cell": 3.88,
  "sg": "P4/mmm (123)",
  "n_ef_per_ev_cell": 2.4,
  "volume_a3_per_atom": 40.24,
  "density_g_cm3": 4.09,
  "lattice_angstrom": [[6.692, 0.000, 0.000], [0.000, 4.493, 0.000], [0.000, 0.000, 6.692]],
  "species": ["Rb", "Rb", "Ir", "Br", "Cr"],
  "fractional_positions": [[0.000, 0.000, 0.500], [0.500, 0.000, 0.000], [0.000, 0.500, 0.000], [0.500, 0.500, 0.500], [0.000, 0.000, 0.000]]
}


Entry 15:
{
  "formula": "TaTi4Ge3",
  "functional": "PBE",
  "state": "optimized geometry",
  "magmom_total_mub_per_cell": 0.00,
  "formation_energy_ev_per_fu": -4.87,
  "sg": "I4/mcm (140)",
  "n_ef_per_ev_cell": 13.7,
  "volume_a3_per_atom": 16.35,
  "density_g_cm3": 7.50,
  "lattice_angstrom": [[4.892, 0.000, 1.732], [2.446, 7.099, 0.866], [0.076, 0.000, 7.558]],
  "species": ["Ti", "Ti", "Ti", "Ti", "Ti", "Ti", "Ti", "Ti", "Ge", "Ge", "Ge", "Ge", "Ge", "Ge", "Ta", "Ta"],
  "fractional_positions": [[0.924, 0.854, 0.298], [0.722, 0.854, 0.702], [0.778, 0.298, 0.146], [0.076, 0.146, 0.702], [0.576, 0.702, 0.146], [0.222, 0.702, 0.854], [0.424, 0.298, 0.854], [0.278, 0.146, 0.298], [0.834, 0.500, 0.832], [0.250, 0.000, 0.000], [0.166, 0.500, 0.168], [0.334, 0.832, 0.500], [0.666, 0.168, 0.500], [0.750, 0.000, 0.000], [0.750, 0.500, 0.500], [0.250, 0.500, 0.500]]
}


Entry 16:
{
  "formula": "BeCuN2O",
  "functional": "PBE",
  "state": "optimized geometry",
  "e_form_raw_ev_per_atom": 0.98,
  "magmom_total_mub_per_cell": 0.00,
  "sg": "P4/mmm (123)",
  "n_ef_per_ev_cell": 4.3,
  "volume_a3_per_atom": 8.41,
  "density_g_cm3": 4.60,
  "lattice_angstrom": [[-2.020, -2.644, 0.856], [1.608, -0.250, 3.026], [-2.350, 2.259, 1.435]],
  "species": ["O", "Be", "Cu", "N", "N"],
  "fractional_positions": [[0.000, 0.000, 0.500], [0.000, 0.000, 0.000], [0.500, 0.500, 0.500], [0.500, 0.000, 0.000], [0.000, 0.500, 0.000]]
}


Entry 17:
{
  "formula": "NdBeIr",
  "functional": "PBE",
  "state": "optimized geometry",
  "magmom_total_mub_per_cell": 0.00,
  "formation_energy_ev_per_fu": -1.70,
  "polymorph_energy_ev_per_atom": 0.0000,
  "sg": "P6_3/mmc (194)",
  "n_ef_per_ev_cell": 4.5,
  "volume_a3_per_atom": 19.07,
  "density_g_cm3": 10.03,
  "lattice_angstrom": [[3.973, -0.001, 0.000], [-1.986, 3.441, 0.000], [0.000, 0.000, 8.368]],
  "species": ["Ir", "Ir", "Nd", "Nd", "Be", "Be"],
  "fractional_positions": [[0.667, 0.833, 0.750], [0.333, 0.167, 0.250], [0.000, 0.500, 0.000], [0.000, 0.500, 0.500], [0.333, 0.167, 0.750], [0.667, 0.833, 0.250]]
}


Entry 18:
{
  "formula": "Rb2SrPuO6",
  "functional": "PBE",
  "state": "optimized geometry",
  "e_form_raw_ev_per_atom": -2.24,
  "magmom_total_mub_per_cell": 0.00,
  "sg": "Fm-3m (225)",
  "volume_a3_per_atom": 18.04,
  "density_g_cm3": 5.51,
  "lattice_angstrom": [[6.343, 0.004, 0.005], [-0.004, 6.342, 0.005], [3.165, 3.170, 4.490]],
  "species": ["O", "O", "O", "O", "O", "O", "Rb", "Rb", "Pu", "Sr"],
  "fractional_positions": [[0.721, 0.721, 0.558], [0.279, 0.279, 0.000], [0.721, 0.279, 0.000], [0.721, 0.721, 0.000], [0.279, 0.721, 0.000], [0.279, 0.279, 0.442], [0.250, 0.750, 0.500], [0.750, 0.250, 0.500], [0.500, 0.500, 0.000], [0.000, 0.000, 0.000]]
}


Entry 19:
{
  "formula": "SrCdRu2",
  "functional": "PBE",
  "state": "optimized geometry",
  "magmom_total_mub_per_cell": 0.00,
  "formation_energy_ev_per_fu": 1.26,
  "sg": "C2/m (12)",
  "n_ef_per_ev_cell": 3.3,
  "volume_a3_per_atom": 25.57,
  "density_g_cm3": 6.53,
  "lattice_angstrom": [[-4.475, 1.517, 0.518], [-3.546, -2.663, 1.711], [-1.450, 1.332, 5.799]],
  "species": ["Cd", "Ru", "Ru", "Sr"],
  "fractional_positions": [[0.750, 0.750, 0.750], [0.447, 0.447, 0.712], [0.053, 0.053, 0.788], [0.250, 0.250, 0.250]]
}


Entry 20:
{
  "formula": "Sb2Au",
  "functional": "PBE",
  "state": "optimized geometry",
  "e_form_raw_ev_per_atom": -0.03,
  "magmom_total_mub_per_cell": 0.00,
  "sg": "Cmcm (63)",
  "n_ef_per_ev_cell": 2.4,
  "volume_a3_per_atom": 26.27,
  "density_g_cm3": 9.28,
  "lattice_angstrom": [[6.734, 0.009, 0.000], [-5.380, 4.049, 0.000], [0.000, 0.000, 5.771]],
  "species": ["Sb", "Sb", "Sb", "Sb", "Au", "Au"],
  "fractional_positions": [[0.750, 0.250, 0.500], [0.027, 0.973, 0.500], [0.361, 0.639, 0.000], [0.084, 0.916, 0.000], [0.720, 0.280, 0.000], [0.391, 0.609, 0.500]]
}